(1)
Entry from the Alexandria database: crystalline Na2Ca2S at its relaxed geometry (PBE).

Geometry as extended XYZ:
```
10
Lattice="-0.588 7.369 1.031 -2.455 -1.168 6.951 6.347 0.188 2.273" Properties=species:S:1:pos:R:3 pbc="T T T"
Ca -2.181 1.359 5.977
Ca -0.862 4.841 2.005
Ca -0.879 1.009 2.371
Ca -2.164 5.192 5.611
Na 1.825 5.928 4.419
Na 0.711 3.920 7.695
Na 1.479 0.461 5.837
Na 2.593 2.469 2.560
S -1.522 3.100 3.991
S 0.000 0.000 0.000
```

Output
- DOS at the Fermi energy: 0.8157 states/eV/atom
- M_tot: 0.000 μB per formula unit
- E_form (uncorrected): -0.546 eV per atom

=====

(2)
Entry from the Alexandria database: crystalline V2NiPt2 at its relaxed geometry (PBE).

Geometry as extended XYZ:
```
10
Lattice="-2.510 0.529 3.313 -1.646 -0.397 -3.832 -0.468 -9.913 1.229" Properties=species:S:1:pos:R:3 pbc="T T T"
V -2.337 -8.640 -0.390
V -2.286 -1.141 1.100
V -2.391 -3.375 1.377
V -2.232 -6.406 -0.667
Ni -0.351 -7.434 0.922
Ni -0.117 -2.478 0.307
Pt -0.234 -4.956 0.614
Pt 0.000 0.000 0.000
Pt -2.573 -7.214 1.853
Pt -2.051 -2.567 -1.143
```

Output
- DOS at the Fermi energy: 0.3085 states/eV/atom
- E_form: -0.139 eV/atom
- M_tot: 0.000 μB per formula unit

=====

(3)
Entry from the Alexandria database: crystalline DyYLu at its relaxed geometry (PBE).

Geometry as extended XYZ:
```
3
Lattice="3.477 0.000 0.000 0.000 5.560 0.000 0.000 -2.780 4.815" Properties=species:S:1:pos:R:3 pbc="T T T"
Y 2.318 2.780 1.605
Lu 0.582 0.000 3.210
Dy 0.577 0.000 0.000
```

Output
- DOS at the Fermi energy: 2.1142 states/eV/atom
- E_form: 0.078 eV/atom
- M_tot: 0.000 μB per formula unit

=====

(4)
Entry from the Alexandria database: crystalline Tb6AsS5 at its relaxed geometry (PBE).

Geometry as extended XYZ:
```
12
Lattice="-2.889 5.925 1.907 -3.664 -4.652 -3.467 0.318 -3.130 6.116" Properties=species:S:1:pos:R:3 pbc="T T T"
S -3.377 -4.471 0.478
S -2.858 2.613 4.077
S -3.147 2.406 0.118
S -3.406 -1.133 -1.679
S -3.117 -0.929 2.278
Tb -4.820 0.160 0.381
Tb -4.526 0.387 4.296
Tb -4.786 -3.155 2.496
Tb -1.414 -2.017 4.175
Tb -1.449 1.298 2.059
Tb -1.709 -2.244 0.260
As 0.000 0.000 0.000
```

Output
- DOS at the Fermi energy: 0.4721 states/eV/atom
- M_tot: 0.000 μB per formula unit
- E_form (uncorrected): -1.941 eV per atom

=====

(5)
Entry from the Alexandria database: crystalline SiTcW2 at its relaxed geometry (PBE).

Geometry as extended XYZ:
```
4
Lattice="-1.764 -3.300 -3.289 4.877 1.004 -0.176 0.905 -2.321 1.279" Properties=species:S:1:pos:R:3 pbc="T T T"
Tc 2.891 -0.658 0.551
W 0.000 0.000 0.000
W 1.556 -1.148 -1.733
Si -0.429 -2.811 -1.005
```

Output
- DOS at the Fermi energy: 0.8311 states/eV/atom
- M_tot: 0.000 μB per formula unit
- E_form (uncorrected): 0.109 eV per atom

=====

(6)
Entry from the Alexandria database: crystalline Mn3Cr3Te8 at its relaxed geometry (PBE).

Geometry as extended XYZ:
```
14
Lattice="7.071 0.000 4.060 2.350 6.669 4.060 0.000 0.000 8.154" Properties=species:S:1:pos:R:3 pbc="T T T"
Te 7.163 5.070 12.372
Te 2.279 1.613 8.319
Te 2.258 1.599 3.901
Te 7.142 5.056 7.955
Te 6.079 1.613 6.119
Te 5.879 1.471 10.155
Te 3.542 5.197 6.119
Te 3.342 5.056 10.155
Cr 0.000 0.000 4.077
Cr 3.536 0.000 2.030
Cr 1.175 3.335 2.030
Mn 0.000 0.000 0.000
Mn 3.537 2.503 6.109
Mn 5.885 4.166 10.165
```

Output
- DOS at the Fermi energy: 0.2674 states/eV/atom
- M_tot: 23.090 μB per formula unit
- E_form (uncorrected): -0.172 eV per atom

=====

(7)
Entry from the Alexandria database: crystalline Ac2PaTl3S6 at its relaxed geometry (PBE).

Geometry as extended XYZ:
```
12
Lattice="7.469 0.003 -0.007 -3.730 6.471 -0.007 -1.254 -2.172 7.498" Properties=species:S:1:pos:R:3 pbc="T T T"
Tl -2.479 4.301 3.742
Tl 4.964 0.002 3.742
Tl 1.242 2.151 3.742
Pa 0.000 0.000 0.000
S -0.106 -0.183 5.946
S 2.307 0.002 1.512
S 2.591 4.486 1.538
S 3.636 2.303 5.972
S 0.178 4.301 5.972
S -1.152 1.999 1.512
Ac 3.733 2.161 -0.007
Ac 0.006 4.313 -0.007
```

Output
- DOS at the Fermi energy: 0.6365 states/eV/atom
- M_tot: 1.944 μB per formula unit
- E_form (uncorrected): -1.336 eV per atom

=====

(8)
Entry from the Alexandria database: crystalline Np3Pa at its relaxed geometry (PBE).

Geometry as extended XYZ:
```
4
Lattice="3.735 0.000 0.000 0.000 3.748 0.000 0.000 0.000 5.260" Properties=species:S:1:pos:R:3 pbc="T T T"
Np 0.000 3.050 2.630
Np 1.867 1.296 2.630
Np 1.867 1.253 0.000
Pa 0.000 3.147 0.000
```

Output
- E_form: 0.452 eV/atom
- M_tot: 0.000 μB per formula unit

=====

(9)
Entry from the Alexandria database: crystalline Cs2PrF6 at its relaxed geometry (PBE).

Geometry as extended XYZ:
```
9
Lattice="-1.285 -2.182 -3.387 5.990 -3.621 0.060 -5.373 -2.032 5.443" Properties=species:S:1:pos:R:3 pbc="T T T"
Pr 0.000 0.000 0.000
F -1.106 -5.755 1.074
F 3.929 -4.191 1.078
F 4.230 -4.037 -1.644
F 0.438 -2.080 1.043
F 0.475 -1.767 -1.682
F -4.597 -3.644 1.039
Cs -2.013 -3.289 2.478
Cs 1.345 -4.546 -0.361
```

Output
- DOS at the Fermi energy: 1.2602 states/eV/atom
- M_tot: 1.095 μB per formula unit
- E_form (uncorrected): -3.024 eV per atom

=====

(10)
Entry from the Alexandria database: crystalline BaYSe2 at its relaxed geometry (PBE).

Geometry as extended XYZ:
```
4
Lattice="-1.744 -4.351 7.928 -4.052 -6.878 4.593 0.634 -7.529 5.267" Properties=species:S:1:pos:R:3 pbc="T T T"
Ba -2.582 -9.379 8.894
Se -4.647 -16.882 16.010
Se -0.516 -1.876 1.779
Y 0.000 0.000 0.000
```

Output
- DOS at the Fermi energy: 0.5323 states/eV/atom
- M_tot: 0.065 μB per formula unit
- E_form (uncorrected): -1.268 eV per atom

=====

(11)
Entry from the Alexandria database: crystalline Hf5Ti3Al3 at its relaxed geometry (PBE).

Geometry as extended XYZ:
```
11
Lattice="-1.708 2.314 -0.174 -3.780 -3.391 -8.008 -3.857 -2.218 8.373" Properties=species:S:1:pos:R:3 pbc="T T T"
Hf -3.220 -0.581 0.026
Hf -3.462 -1.183 -5.613
Hf -4.659 -1.843 -2.634
Hf -4.685 -1.452 2.826
Hf -3.516 -0.374 5.692
Ti -5.494 -2.251 0.135
Ti -2.367 0.287 3.199
Ti -2.337 -0.173 -3.229
Al -0.609 -0.350 1.321
Al -0.596 -0.535 -1.264
Al -6.431 -4.724 0.308
```

Output
- DOS at the Fermi energy: 1.0780 states/eV/atom
- E_form: 0.243 eV/atom
- M_tot: 2.652 μB per formula unit

=====

(12)
Entry from the Alexandria database: crystalline Pm2Y5Sc2 at its relaxed geometry (PBE).

Geometry as extended XYZ:
```
9
Lattice="4.780 -0.015 1.435 -1.720 8.634 5.808 -0.286 4.124 9.673" Properties=species:S:1:pos:R:3 pbc="T T T"
Y 4.178 2.866 3.465
Y -1.404 9.878 13.452
Y 0.000 0.000 0.000
Y -0.063 9.075 8.973
Y 2.837 3.669 7.943
Sc 1.127 3.293 4.955
Sc 1.647 9.450 11.961
Pm 2.219 6.610 10.028
Pm 0.555 6.133 6.888
```

Output
- DOS at the Fermi energy: 1.5907 states/eV/atom
- E_form: 0.046 eV/atom
- M_tot: 0.000 μB per formula unit